1.
# LiScSn | Alexandria | PBE | optimized geometry
data_LiScSn
_chemical_formula_sum 'Li2 Sc2 Sn2'
_space_group_name_H-M_alt 'P 63/m m c'
_space_group_IT_number 194
_space_group_name_Hall '-P 6c 2c'
_cell_length_a 5.0098
_cell_length_b 5.0098
_cell_length_c 5.9682
_cell_angle_alpha 90.00
_cell_angle_beta 90.00
_cell_angle_gamma 120.00
loop_
_atom_site_label
_atom_site_fract_x
_atom_site_fract_y
_atom_site_fract_z
Li1 0.0000 0.0000 0.0000
Sc1 0.3333 0.6667 0.2500
Sn1 0.3333 0.6667 0.7500
# Mass density   4.37 g cm⁻³
# Volume   21.6 Å³ per atom
# Energy   -4.614 eV/atom

***

2.
# LiSc4Sn5 | Alexandria | PBE | optimized geometry
data_LiSc4Sn5
_chemical_formula_sum 'Li2 Sc8 Sn10'
_space_group_name_H-M_alt 'I 4'
_space_group_IT_number 79
_cell_length_a 8.979
_cell_length_b 8.979
_cell_length_c 5.973
_cell_angle_alpha 90.00
_cell_angle_beta 90.00
_cell_angle_gamma 90.00
loop_
_space_group_symop_operation_xyz
'x,y,z'
'-y,x,z'
'-x,-y,z'
'y,-x,z'
'x+1/2,y+1/2,z+1/2'
'-y+1/2,x+1/2,z+1/2'
'-x+1/2,-y+1/2,z+1/2'
'y+1/2,-x+1/2,z+1/2'
loop_
_atom_site_label
_atom_site_fract_x
_atom_site_fract_y
_atom_site_fract_z
Li1 0.000 0.000 0.000
Sc1 0.076 0.315 0.724
Sn1 0.000 0.000 0.549
Sn2 0.100 0.259 0.224
# Mass density   5.38 g cm⁻³
# Volume   24.1 Å³ per atom
# Energy   -5.052 eV/atom

***

3.
# LiScSn | Alexandria | PBE | optimized geometry
data_LiScSn
_chemical_formula_sum 'Li2 Sc2 Sn2'
_space_group_name_H-M_alt 'P 3 m 1'
_space_group_IT_number 156
_cell_length_a 4.8015
_cell_length_b 4.8015
_cell_length_c 6.3989
_cell_angle_alpha 90.00
_cell_angle_beta 90.00
_cell_angle_gamma 120.00
loop_
_space_group_symop_operation_xyz
'x,y,z'
'-y,x-y,z'
'-x+y,-x,z'
'-y,-x,z'
'-x+y,y,z'
'x,x-y,z'
loop_
_atom_site_label
_atom_site_fract_x
_atom_site_fract_y
_atom_site_fract_z
Li1 0.0000 0.0000 0.0000
Li2 0.3333 0.6667 0.1523
Sc1 0.0000 0.0000 0.4711
Sc2 0.6667 0.3333 0.7916
Sn1 0.3333 0.6667 0.6962
Sn2 0.6667 0.3333 0.2611
# Mass density   4.43 g cm⁻³
# Volume   21.3 Å³ per atom
# Energy   -4.575 eV/atom

***

4.
# LiScSn | Alexandria | PBE | optimized geometry
data_LiScSn
_chemical_formula_sum 'Li4 Sc4 Sn4'
_space_group_name_H-M_alt 'F -4 3 m'
_space_group_IT_number 216
_space_group_name_Hall 'F -4 2 3'
_cell_length_a 6.720
_cell_length_b 6.720
_cell_length_c 6.720
_cell_angle_alpha 90.00
_cell_angle_beta 90.00
_cell_angle_gamma 90.00
loop_
_atom_site_label
_atom_site_fract_x
_atom_site_fract_y
_atom_site_fract_z
Li1 0.000 0.000 0.000
Sc1 0.000 0.000 0.500
Sn1 0.250 0.250 0.750
# Mass density   3.73 g cm⁻³
# Volume   25.3 Å³ per atom
# Energy   -4.456 eV/atom

***

5.
# Li4Sc2Sn | Alexandria | PBE | optimized geometry
data_Li4Sc2Sn
_chemical_formula_sum 'Li8 Sc4 Sn2'
_space_group_name_H-M_alt 'I 4/m m m'
_space_group_IT_number 139
_space_group_name_Hall '-I 4 2'
_cell_length_a 4.747
_cell_length_b 4.747
_cell_length_c 14.826
_cell_angle_alpha 90.00
_cell_angle_beta 90.00
_cell_angle_gamma 90.00
loop_
_atom_site_label
_atom_site_fract_x
_atom_site_fract_y
_atom_site_fract_z
Li1 0.000 0.000 0.185
Li2 0.000 0.500 0.000
Sc1 0.000 0.000 0.389
Sn1 0.000 0.000 0.000
# Mass density   2.35 g cm⁻³
# Volume   23.9 Å³ per atom
# Energy   -3.169 eV/atom

***

6.
# LiSc3Sn2 | Alexandria | PBE | optimized geometry
data_LiSc3Sn2
_chemical_formula_sum 'Li4 Sc12 Sn8'
_space_group_name_H-M_alt 'I b a m'
_space_group_IT_number 72
_space_group_name_Hall '-I 2 2c'
_cell_length_a 6.023
_cell_length_b 15.414
_cell_length_c 5.967
_cell_angle_alpha 90.00
_cell_angle_beta 90.00
_cell_angle_gamma 90.00
loop_
_atom_site_label
_atom_site_fract_x
_atom_site_fract_y
_atom_site_fract_z
Li1 0.000 0.000 0.250
Sc1 0.000 0.500 0.250
Sc2 0.250 0.174 0.000
Sn1 0.245 0.133 0.500
# Mass density   4.55 g cm⁻³
# Volume   23.1 Å³ per atom
# Energy   -5.309 eV/atom